Record 1
This record from Alexandria describes a relaxed structure of KIr2Os. The functional is GGA-PBEsol.

Unit cell a=2.7145 b=2.7145 c=9.3058 alpha=90.00 beta=90.00 gamma=90.00
With the nearest neighbours (Å) after each atom.
Sites, in units of the cell vectors:
K 0.0000 0.0000 0.0000  4 K 2.71
Ir 0.0000 0.0000 0.5046  4 Os 2.65, 8 Ir 2.69-2.71
Ir 0.5000 0.5000 0.7074  8 Ir 2.69-2.71
Os 0.5000 0.5000 0.3077  4 Ir 2.65, 4 Os 2.71

Computed properties:
Crystal system ... tetragonal
Fermi-level density of states ... 1.278 states/eV/atom
E above lowest polymorph ... 0.000 eV per formula unit
Formation energy ... 0.696 eV/atom
Space group ... P4mm, No. 99

Record 2
This record from Alexandria describes a relaxed structure of Mn2BP. The functional is GGA-PBEsol.

Unit cell a=3.7145 b=3.7145 c=3.7145 alpha=60.00 beta=60.00 gamma=60.00
With the nearest neighbours (Å) after each atom.
Sites, in units of the cell vectors:
Mn 0.2500 0.2500 0.2500  4 B 2.27, 4 P 2.27
Mn 0.7500 0.7500 0.7500  4 B 2.27, 4 P 2.27
B 0.0000 0.0000 0.0000  8 Mn 2.27
P 0.5000 0.5000 0.5000  8 Mn 2.27

Computed properties:
Crystal system ... cubic
Fermi-level density of states ... 0.884 states/eV/atom
Formation energy ... -0.187 eV/atom
Space group ... Fm-3m, No. 225

Record 3
This record from Alexandria describes a relaxed structure of Ta2MnCu. The functional is GGA-PBEsol.

Unit cell a=4.3199 b=4.3199 c=4.3199 alpha=60.00 beta=60.00 gamma=60.00
With the nearest neighbours (Å) after each atom.
Sites, in units of the cell vectors:
Ta 0.0000 0.0000 0.0000  4 Mn 2.65, 4 Ta 2.65
Ta 0.2500 0.2500 0.2500  4 Ta 2.65, 4 Cu 2.65
Mn 0.7500 0.7500 0.7500  4 Ta 2.65, 4 Cu 2.65
Cu 0.5000 0.5000 0.5000  4 Mn 2.65, 4 Ta 2.65

Computed properties:
Crystal system ... cubic
Fermi-level density of states ... 0.366 states/eV/atom
Formation energy ... 0.282 eV/atom
Space group ... F-43m, No. 216

Record 4
This record from Alexandria describes a relaxed structure of CaCdSn. The functional is GGA-PBEsol.

Unit cell a=7.5565 b=7.5565 c=4.6313 alpha=90.00 beta=90.00 gamma=120.00
With the nearest neighbours (Å) after each atom.
Sites, in units of the cell vectors:
Ca 0.0000 0.5734 0.0000  5 Sn 3.22-3.23, 2 Cd 3.36
Ca 0.4266 0.4266 0.0000  5 Sn 3.22-3.23, 2 Cd 3.36
Ca 0.5734 0.0000 0.0000  5 Sn 3.22-3.23, 2 Cd 3.36
Cd 0.0000 0.2505 0.5000  4 Sn 2.88-2.99
Cd 0.2505 0.0000 0.5000  4 Sn 2.88-2.99
Cd 0.7495 0.7495 0.5000  4 Sn 2.88-2.99
Sn 0.0000 0.0000 0.0000  6 Cd 2.99, 3 Ca 3.22
Sn 0.3333 0.6667 0.5000  3 Cd 2.88
Sn 0.6667 0.3333 0.5000  3 Cd 2.88

Computed properties:
Crystal system ... hexagonal
Fermi-level density of states ... 0.134 states/eV/atom
Formation energy ... -0.545 eV/atom
Space group ... P-62m, No. 189

Record 5
This record from Alexandria describes a relaxed structure of Li2AsBr2. The functional is GGA-PBEsol.

Unit cell a=6.8607 b=6.8607 c=6.8607 alpha=140.82 beta=140.82 gamma=56.61
With the nearest neighbours (Å) after each atom.
Sites, in units of the cell vectors:
Li 0.2500 0.7500 0.5000  4 Br 2.55
Li 0.7500 0.2500 0.5000  4 Br 2.55
As 0.0000 0.0000 0.0000  10 Br 3.78-4.11, 8 Li 3.80
Br 0.3402 0.3402 0.0000  4 Li 2.55
Br 0.6598 0.6598 0.0000  4 Li 2.55

Computed properties:
Crystal system ... tetragonal
Space group ... I4/mmm, No. 139
Calculated total energy ... -3.11 eV/atom

Record 6
This record from Alexandria describes a relaxed structure of Li2CuNi. The functional is GGA-PBEsol.

Unit cell a=4.8815 b=4.8815 c=4.8815 alpha=148.77 beta=129.15 gamma=60.90
With the nearest neighbours (Å) after each atom.
Sites, in units of the cell vectors:
Li 0.0000 0.0000 0.0000  2 Ni 2.47, 4 Cu 2.48, 4 Li 2.56-2.63
Li 0.7384 0.2384 0.5000  4 Ni 2.48, 2 Cu 2.48, 4 Li 2.56-2.63
Cu 0.4879 0.4879 0.0000  2 Ni 2.40, 6 Li 2.48, 2 Cu 2.63
Ni 0.2486 0.7486 0.5000  2 Cu 2.40, 6 Li 2.47-2.48, 2 Ni 2.63

Computed properties:
Crystal system ... orthorhombic
Fermi-level density of states ... 0.353 states/eV/atom
E above lowest polymorph ... 0.254 eV per formula unit
Formation energy ... 0.078 eV/atom
Space group ... Imm2, No. 44

Record 7
This record from Alexandria describes a relaxed structure of TaPb2Au. The functional is GGA-PBEsol.

Unit cell a=5.5000 b=5.5000 c=5.5000 alpha=133.71 beta=133.71 gamma=67.55
With the nearest neighbours (Å) after each atom.
Sites, in units of the cell vectors:
Ta 0.0000 0.0000 0.0000  4 Au 3.06, 8 Pb 3.15
Pb 0.2500 0.7500 0.5000  4 Pb 3.06, 4 Ta 3.15, 4 Au 3.15
Pb 0.7500 0.2500 0.5000  4 Pb 3.06, 4 Ta 3.15, 4 Au 3.15
Au 0.5000 0.5000 0.0000  4 Ta 3.06, 8 Pb 3.15

Computed properties:
Crystal system ... tetragonal
Fermi-level density of states ... 0.442 states/eV/atom
E above lowest polymorph ... 0.295 eV per formula unit
Formation energy ... 0.496 eV/atom
Space group ... I4/mmm, No. 139

Record 8
This record from Alexandria describes a relaxed structure of CrIn2Au. The functional is GGA-PBEsol.

Unit cell a=3.2022 b=3.2022 c=7.6149 alpha=90.00 beta=90.00 gamma=90.00
With the nearest neighbours (Å) after each atom.
Sites, in units of the cell vectors:
Cr 0.0000 0.0000 0.0000  4 Au 2.74, 4 In 2.88
In 0.0000 0.0000 0.5490  4 Au 2.95, 8 In 3.20-3.30
In 0.5000 0.5000 0.2333  4 Cr 2.88, 4 In 3.20
Au 0.5000 0.5000 0.7980  4 Cr 2.74, 4 In 2.95

Computed properties:
Crystal system ... tetragonal
Fermi-level density of states ... 0.514 states/eV/atom
E above lowest polymorph ... 0.000 eV per formula unit
Formation energy ... 0.195 eV/atom
Space group ... P4mm, No. 99

Record 9
This record from Alexandria describes a relaxed structure of ZrI2. The functional is GGA-PBEsol.

Unit cell a=8.9073 b=8.9073 c=8.9073 alpha=107.17 beta=107.17 gamma=107.17
With the nearest neighbours (Å) after each atom.
Sites, in units of the cell vectors:
Zr 0.2215 0.4076 0.4711  4 I 2.85-2.93
Zr 0.4076 0.4711 0.2215  4 I 2.85-2.93
Zr 0.4711 0.2215 0.4076  4 I 2.85-2.93
Zr 0.5289 0.7785 0.5924  4 I 2.85-2.93
Zr 0.5924 0.5289 0.7785  4 I 2.85-2.93
Zr 0.7785 0.5924 0.5289  4 I 2.85-2.93
I 0.0440 0.3510 0.1211  2 Zr 2.85-2.86
I 0.1211 0.0440 0.3510  2 Zr 2.85-2.86
I 0.1842 0.7296 0.5782  2 Zr 2.89-2.93
I 0.2704 0.4218 0.8158  2 Zr 2.89-2.93
I 0.3510 0.1211 0.0440  2 Zr 2.85-2.86
I 0.4218 0.8158 0.2704  2 Zr 2.89-2.93
I 0.5782 0.1842 0.7296  2 Zr 2.89-2.93
I 0.6490 0.8789 0.9560  2 Zr 2.85-2.86
I 0.7296 0.5782 0.1842  2 Zr 2.89-2.93
I 0.8158 0.2704 0.4218  2 Zr 2.89-2.93
I 0.8789 0.9560 0.6490  2 Zr 2.85-2.86
I 0.9560 0.6490 0.8789  2 Zr 2.85-2.86

Computed properties:
Crystal system ... trigonal
Fermi-level density of states ... 0.456 states/eV/atom
Space group ... R-3, No. 148
Calculated total energy ... -5.03 eV/atom

Record 10
This record from Alexandria describes a relaxed structure of LiCoPO4F. The functional is GGA-PBEsol.

Unit cell a=5.0481 b=5.1642 c=6.8293 alpha=107.19 beta=107.58 gamma=99.94
With the nearest neighbours (Å) after each atom.
Sites, in units of the cell vectors:
Li 0.2172 0.3678 0.2742  1 F 1.91, 2 O 1.98-2.03
Li 0.7828 0.6322 0.7258  1 F 1.91, 2 O 1.98-2.03
Co 0.5000 0.0000 0.0000  2 F 1.86, 4 O 1.87-1.89
Co 0.5000 0.0000 0.5000  2 F 1.85, 4 O 1.87-1.90
P 0.1814 0.3450 0.7427  4 O 1.54-1.56
P 0.8186 0.6550 0.2573  4 O 1.54-1.56
O 0.1323 0.7666 0.4311  1 P 1.55
O 0.1998 0.6600 0.8549  1 P 1.55
O 0.2318 0.1948 0.9087  1 P 1.54
O 0.4005 0.3318 0.6227  1 P 1.56
O 0.5995 0.6682 0.3773  1 P 1.56
O 0.7682 0.8052 0.0913  1 P 1.54
O 0.8002 0.3400 0.1451  1 P 1.55
O 0.8677 0.2334 0.5689  1 P 1.55
F 0.3777 0.0565 0.2363  2 Co 1.85-1.86, 1 Li 1.91
F 0.6223 0.9435 0.7637  2 Co 1.85-1.86, 1 Li 1.91

Computed properties:
Crystal system ... triclinic
Fermi-level density of states ... 0.059 states/eV/atom
Space group ... P-1, No. 2
Calculated total energy ... -6.75 eV/atom

Record 11
This record from Alexandria describes a relaxed structure of Ba3OsC. The functional is GGA-PBEsol.

Unit cell a=5.3712 b=5.3712 c=5.3712 alpha=90.00 beta=90.00 gamma=90.00
With the nearest neighbours (Å) after each atom.
Sites, in units of the cell vectors:
Ba 0.0000 0.0000 0.5000  2 C 2.69
Ba 0.0000 0.5000 0.0000  2 C 2.69
Ba 0.5000 0.0000 0.0000  2 C 2.69
Os 0.5000 0.5000 0.5000  12 Ba 3.80
C 0.0000 0.0000 0.0000  6 Ba 2.69

Computed properties:
Crystal system ... cubic
Fermi-level density of states ... 1.620 states/eV/atom
E above lowest polymorph ... 0.000 eV per formula unit
Formation energy ... 1.242 eV/atom
Space group ... Pm-3m, No. 221

Record 12
This record from Alexandria describes a relaxed structure of Ti3Mn2NiP6O24. The functional is GGA-PBEsol.

Unit cell a=8.5051 b=8.5051 c=8.5051 alpha=60.48 beta=60.48 gamma=60.48
With the nearest neighbours (Å) after each atom.
Sites, in units of the cell vectors:
Ti 0.0000 0.0000 0.0000  6 O 1.89-2.01
Ti 0.2129 0.2129 0.2129  6 O 1.86-2.01
Ti 0.5040 0.5040 0.5040  6 O 1.86-2.06
Mn 0.3569 0.3569 0.3569  6 O 2.19-2.22
Mn 0.8541 0.8541 0.8541  6 O 2.13-2.26
Ni 0.7170 0.7170 0.7170  6 O 1.95-2.07
P 0.1094 0.8130 0.3995  4 O 1.52-1.55
P 0.3193 0.6107 0.9027  4 O 1.49-1.56
P 0.3995 0.1094 0.8130  4 O 1.52-1.55
P 0.6107 0.9027 0.3193  4 O 1.49-1.56
P 0.8130 0.3995 0.1094  4 O 1.52-1.55
P 0.9027 0.3193 0.6107  4 O 1.49-1.56
O 0.0477 0.8568 0.2352  1 P 1.54
O 0.1001 0.2851 0.4479  1 P 1.56
O 0.1218 0.7745 0.9100  1 P 1.56
O 0.1874 0.9705 0.3419  1 P 1.54
O 0.2352 0.0477 0.8568  1 P 1.54
O 0.2728 0.6169 0.4147  1 P 1.55
O 0.2851 0.4479 0.1001  1 P 1.56
O 0.3419 0.1874 0.9705  1 P 1.54
O 0.3645 0.5454 0.7385  1 P 1.56
O 0.4147 0.2728 0.6169  1 P 1.55
O 0.4479 0.1001 0.2851  1 P 1.56
O 0.4761 0.6640 0.8759  1 P 1.49
O 0.5454 0.7385 0.3645  1 P 1.56
O 0.5908 0.9486 0.8111  1 P 1.52
O 0.6169 0.4147 0.2728  1 P 1.55
O 0.6640 0.8759 0.4761  1 P 1.49
O 0.7385 0.3645 0.5454  1 P 1.56
O 0.7745 0.9100 0.1218  1 P 1.56
O 0.8111 0.5908 0.9486  1 P 1.52
O 0.8568 0.2352 0.0477  1 P 1.54
O 0.8759 0.4761 0.6640  1 P 1.49
O 0.9100 0.1218 0.7745  1 P 1.56
O 0.9486 0.8111 0.5908  1 P 1.52
O 0.9705 0.3419 0.1874  1 P 1.54

Computed properties:
Crystal system ... trigonal
Space group ... R3, No. 146
Calculated total energy ... -8.14 eV/atom

Record 13
This record from Alexandria describes a relaxed structure of KY2Tc. The functional is GGA-PBEsol.

Unit cell a=3.8359 b=3.8359 c=8.7461 alpha=90.00 beta=90.00 gamma=90.00
With the nearest neighbours (Å) after each atom.
Sites, in units of the cell vectors:
K 0.0000 0.0000 0.0000  1 Y 3.42
Y 0.0000 0.0000 0.3905  4 Tc 2.79
Y 0.5000 0.5000 0.6213  1 Tc 2.67
Tc 0.5000 0.5000 0.3157  5 Y 2.67-2.79

Computed properties:
Crystal system ... tetragonal
Fermi-level density of states ... 0.763 states/eV/atom
Formation energy ... 0.534 eV/atom
Space group ... P4mm, No. 99

Record 14
This record from Alexandria describes a relaxed structure of MnIn2Ag. The functional is GGA-PBEsol.

Unit cell a=6.1422 b=6.1422 c=6.1422 alpha=151.32 beta=136.53 gamma=52.91
With the nearest neighbours (Å) after each atom.
Sites, in units of the cell vectors:
Mn 0.0000 0.0000 0.0000  6 In 2.74-2.79, 2 Ag 2.74, 2 Mn 3.04
In 0.5077 0.5077 0.0000  4 Mn 2.74, 2 In 3.04
In 0.7877 0.2877 0.5000  2 Mn 2.79, 4 Ag 2.88, 2 In 3.04
Ag 0.2070 0.7070 0.5000  2 Mn 2.74, 4 In 2.88, 2 Ag 3.04

Computed properties:
Crystal system ... orthorhombic
Fermi-level density of states ... 0.487 states/eV/atom
E above lowest polymorph ... 0.048 eV per formula unit
Formation energy ... 0.168 eV/atom
Space group ... Imm2, No. 44

Record 15
This record from Alexandria describes a relaxed structure of SrAl2W. The functional is GGA-PBEsol.

Unit cell a=5.0164 b=5.0164 c=5.0164 alpha=127.75 beta=127.75 gamma=77.02
With the nearest neighbours (Å) after each atom.
Sites, in units of the cell vectors:
Sr 0.0000 0.0000 0.0000  8 Al 2.95, 4 W 3.12
Al 0.2500 0.7500 0.5000  4 W 2.95, 4 Sr 2.95, 4 Al 3.12
Al 0.7500 0.2500 0.5000  4 W 2.95, 4 Sr 2.95, 4 Al 3.12
W 0.5000 0.5000 0.0000  8 Al 2.95, 4 Sr 3.12

Computed properties:
Crystal system ... tetragonal
Fermi-level density of states ... 0.947 states/eV/atom
E above lowest polymorph ... 1.558 eV per formula unit
Formation energy ... 0.545 eV/atom
Space group ... I4/mmm, No. 139

Record 16
This record from Alexandria describes a relaxed structure of Co3SbBr. The functional is GGA-PBEsol.

Unit cell a=4.8035 b=4.8035 c=4.8035 alpha=90.00 beta=90.00 gamma=90.00
With the nearest neighbours (Å) after each atom.
Sites, in units of the cell vectors:
Co 0.0000 0.0000 0.5000  2 Sb 2.40
Co 0.0000 0.5000 0.0000  2 Sb 2.40
Co 0.5000 0.0000 0.0000  2 Sb 2.40
Sb 0.0000 0.0000 0.0000  6 Co 2.40
Br 0.5000 0.5000 0.5000  12 Co 3.40

Computed properties:
Crystal system ... cubic
Fermi-level density of states ... 2.264 states/eV/atom
Space group ... Pm-3m, No. 221
Calculated total energy ... -4.62 eV/atom

Record 17
This record from Alexandria describes a relaxed structure of CrCuOs2. The functional is GGA-PBEsol.

Unit cell a=2.9651 b=2.9651 c=5.7601 alpha=90.00 beta=90.00 gamma=90.00
With the nearest neighbours (Å) after each atom.
Sites, in units of the cell vectors:
Cr 0.0000 0.0000 0.0000  8 Os 2.54
Cu 0.0000 0.0000 0.5000  8 Os 2.54
Os 0.5000 0.5000 0.2499  4 Cr 2.54, 4 Cu 2.54
Os 0.5000 0.5000 0.7501  4 Cr 2.54, 4 Cu 2.54

Computed properties:
Crystal system ... tetragonal
Fermi-level density of states ... 0.981 states/eV/atom
E above lowest polymorph ... 0.365 eV per formula unit
Formation energy ... 0.336 eV/atom
Space group ... P4/mmm, No. 123

Record 18
This record from Alexandria describes a relaxed structure of CoOsRh2. The functional is GGA-PBEsol.

Unit cell a=2.6491 b=3.7201 c=5.2159 alpha=90.00 beta=90.00 gamma=90.00
With the nearest neighbours (Å) after each atom.
Sites, in units of the cell vectors:
Co 0.0000 0.0000 0.0000  2 Os 2.61, 8 Rh 2.62, 2 Co 2.65
Os 0.0000 0.0000 0.5000  2 Co 2.61, 8 Rh 2.64, 2 Os 2.65
Rh 0.5000 0.5000 0.2454  4 Rh 2.56-2.66, 4 Co 2.62, 4 Os 2.64
Rh 0.5000 0.5000 0.7546  4 Rh 2.56-2.66, 4 Co 2.62, 4 Os 2.64

Computed properties:
Crystal system ... orthorhombic
Fermi-level density of states ... 0.992 states/eV/atom
E above lowest polymorph ... 0.000 eV per formula unit
Formation energy ... 0.068 eV/atom
Space group ... Pmmm, No. 47

Record 19
This record from Alexandria describes a relaxed structure of LiAs2Cl. The functional is GGA-PBEsol.

Unit cell a=3.0133 b=3.5374 c=8.4620 alpha=90.00 beta=90.10 gamma=90.00
With the nearest neighbours (Å) after each atom.
Sites, in units of the cell vectors:
Li 0.0000 0.0000 0.0000  4 Cl 2.33
As 0.9942 0.0000 0.6528  2 As 2.45
As 0.9937 0.5000 0.4526  2 As 2.45
Cl 0.5000 0.5000 0.0180  4 Li 2.33

Computed properties:
Crystal system ... monoclinic
Fermi-level density of states ... 0.110 states/eV/atom
E above lowest polymorph ... 0.423 eV per formula unit
Space group ... Pm, No. 6

Record 20
This record from Alexandria describes a relaxed structure of Sn3HBr. The functional is GGA-PBEsol.

Unit cell a=5.5429 b=5.5429 c=5.5429 alpha=90.00 beta=90.00 gamma=90.00
With the nearest neighbours (Å) after each atom.
Sites, in units of the cell vectors:
Sn 0.0000 0.0000 0.5000  2 Br 2.77
Sn 0.0000 0.5000 0.0000  2 Br 2.77
Sn 0.5000 0.0000 0.0000  2 Br 2.77
H 0.5000 0.5000 0.5000  12 Sn 3.92
Br 0.0000 0.0000 0.0000  6 Sn 2.77

Computed properties:
Crystal system ... cubic
Fermi-level density of states ... 0.672 states/eV/atom
Space group ... Pm-3m, No. 221
Calculated total energy ... -2.46 eV/atom